The following is a DFT calculation (PBE) of a relaxed MgNiSbAu2 crystal.

DOS(E_F) (states/eV/f.u.): 4.409
Total DFT energy (no corrections) (Ha/atom): -0.099
Uncorrected formation energy (meV per atom): 905
Total magnetization (μB per formula unit): 0.64

```
MgNiSbAu2
1.0
4.8414 0.0000 0.0000
0.0000 4.8414 0.0000
0.0000 0.0000 5.2453
Au Sb Mg Ni
2 1 1 1
Cartesian
0.0000 2.4207 0.0000 Au
2.4207 0.0000 0.0000 Au
0.0000 0.0000 2.6226 Sb
0.0000 0.0000 0.0000 Mg
2.4207 2.4207 2.6226 Ni
```